A plane-wave DFT calculation with PBEsol was carried out for SnAuSCl2 after structural relaxation.

a = 5.0107 Å, b = 5.0107 Å, c = 5.0195 Å
α = 90.00°, β = 90.00°, γ = 90.00°
Element x y z (fractional)
1 Sn 0.0000 0.0000 0.0000
2 Au 0.5000 0.5000 0.5000
3 S 0.0000 0.0000 0.5000
4 Cl 0.0000 0.5000 0.0000
5 Cl 0.5000 0.0000 0.0000

Calculated values
The volume comes out at 25.205 A^3/atom. The total magnetization is 0.0 μB per formula unit. The formation energy without anion corrections comes out at 0.16 eV/atom. Its final energy is -3.1584 eV per atom.

---

A plane-wave DFT calculation with PBEsol was carried out for Ba3LiP after structural relaxation.

a = 6.2576 Å, b = 6.2576 Å, c = 6.2576 Å
α = 90.00°, β = 90.00°, γ = 90.00°
Element x y z (fractional)
1 Ba 0.0000 0.0000 0.5000
2 Ba 0.0000 0.5000 0.0000
3 Ba 0.5000 0.0000 0.0000
4 Li 0.5000 0.5000 0.5000
5 P 0.0000 0.0000 0.0000

Calculated values
The volume comes out at 49.005 A^3/atom. The value obtained for the formation energy is -388.2 meV per atom. The total magnetization is 0.0 μB per formula unit. Its final energy is -3.2292 eV per atom.

---

A plane-wave DFT calculation with PBEsol was carried out for Tl3HgRh after structural relaxation.

a = 5.1961 Å, b = 5.1961 Å, c = 5.1961 Å
α = 90.00°, β = 90.00°, γ = 90.00°
Element x y z (fractional)
1 Tl 0.0000 0.0000 0.5000
2 Tl 0.0000 0.5000 0.0000
3 Tl 0.5000 0.0000 0.0000
4 Hg 0.5000 0.5000 0.5000
5 Rh 0.0000 0.0000 0.0000

Calculated values
The volume comes out at 28.058 A^3/atom. The value obtained for the formation energy is 38.4 meV per atom. The total magnetization is 0.0 μB per formula unit. Its final energy is -3.2807 eV per atom.

---

A plane-wave DFT calculation with PBEsol was carried out for ZnCrPt2 after structural relaxation.

a = 4.5354 Å, b = 4.5354 Å, c = 4.7676 Å
α = 100.73°, β = 100.73°, γ = 36.10°
Element x y z (fractional)
1 Zn 0.0000 0.0000 0.0000
2 Cr 0.5000 0.5000 0.5000
3 Pt 0.2482 0.2482 0.7466
4 Pt 0.7518 0.7518 0.2534

Calculated values
The volume comes out at 14.166 A^3/atom. The value obtained for the formation energy is -155.1 meV per atom. The total magnetization is 2.9 μB per formula unit. Its final energy is -6.5928 eV per atom.